DFT (GGA-PBE) results for crystalline Pr6Dy2Tm3 at its relaxed geometry.

As for the offset from the most stable computed form: 287.5 meV per atom. The value obtained for the energy of formation is 0.307 eV per atom.

It has space group I4/mmm (No. 139), with a = 4.7549 Å, b = 4.7549 Å, c = 34.2798 Å, α = 90.00°, β = 90.00° and γ = 90.00°. The inequivalent atoms are Pr at (0.0000, 0.0000, 0.2078), Pr at (0.0000, 0.5000, 0.1197), Dy at (0.0000, 0.0000, 0.0446), Tm at (0.0000, 0.0000, 0.3076) and Tm at (0.0000, 0.0000, 0.5000).

DFT (GGA-PBE) results for crystalline TlSiSe2 at its relaxed geometry.

As for the uncorrected formation energy: -59 meV per atom.

It has space group Imm2 (No. 44), with a = 3.4351 Å, b = 3.7641 Å, c = 15.5086 Å, α = 90.00°, β = 90.00° and γ = 90.00°. The inequivalent atoms are Tl at (0.0000, 0.0000, 0.0000), Si at (0.0000, 0.5000, 0.2444), Se at (0.0000, 0.0000, 0.6265) and Se at (0.0000, 0.5000, 0.8122).